First-principles (GGA+U) data for a relaxed structure of RbHo2Fe2O6, as listed in Alexandria.

Lattice parameters (Å, degrees): 5.923 6.231 6.246 118.87 101.61 101.28
Atoms (fractional coordinates):
Rb 0.000 0.000 0.000
Ho 0.001 0.329 0.672
Ho 0.999 0.671 0.328
Fe 0.500 0.376 0.622
Fe 0.500 0.624 0.378
O 0.227 0.071 0.487
O 0.227 0.488 0.072
O 0.278 0.578 0.578
O 0.722 0.422 0.422
O 0.773 0.512 0.928
O 0.773 0.929 0.513

Output
Magnetization in Bohr magnetons per cell: 9.00
SG: P-1, No. 2
Calculated total energy in eV/atom: -6.910